(1)
VASP calculation (PBE) on a relaxed TaMo crystal.

Calculated values
E_form = 0.23 eV per atom
SG = P2_13, No. 198
ρ = 13.17 g/cm3

a = 5.1876 Å, b = 5.1876 Å, c = 5.1876 Å
α = 90.00°, β = 90.00°, γ = 90.00°
Closest atoms and distances in Å follow each position.
Atoms (fractional coordinates):
Ta (0.0921, 0.0921, 0.0921)  7 Mo 2.76-2.83
Ta (0.4079, 0.9079, 0.5921)  7 Mo 2.76-2.83
Ta (0.5921, 0.4079, 0.9079)  7 Mo 2.76-2.83
Ta (0.9079, 0.5921, 0.4079)  7 Mo 2.76-2.83
Mo (0.0926, 0.5926, 0.9074)  7 Ta 2.76-2.83
Mo (0.4074, 0.4074, 0.4074)  7 Ta 2.76-2.83
Mo (0.5926, 0.9074, 0.0926)  7 Ta 2.76-2.83
Mo (0.9074, 0.0926, 0.5926)  7 Ta 2.76-2.83

(2)
VASP calculation (PBE) on a relaxed Ti2AlTcH crystal.

Calculated values
SG = P4/mmm, No. 123
ρ = 5.81 g/cm3
total energy = -34.74 eV per cell

a = 4.2001 Å, b = 4.2001 Å, c = 3.5909 Å
α = 90.00°, β = 90.00°, γ = 90.00°
Closest atoms and distances in Å follow each position.
Atoms (fractional coordinates):
Ti (0.0000, 0.5000, 0.0000)  2 H 2.10
Ti (0.5000, 0.0000, 0.0000)  2 H 2.10
Al (0.0000, 0.0000, 0.5000)  2 H 1.80
Tc (0.5000, 0.5000, 0.5000)  8 Ti 2.76, 4 Al 2.97
H (0.0000, 0.0000, 0.0000)  2 Al 1.80

(3)
VASP calculation (PBE) on a relaxed Hf5GaSb5 crystal.

Calculated values
SG = C2/m, No. 12
ρ = 9.43 g/cm3
total energy = -77.04 eV per cell

a = 6.9885 Å, b = 6.9885 Å, c = 8.0376 Å
α = 107.30°, β = 107.30°, γ = 48.19°
Closest atoms and distances in Å follow each position.
Atoms (fractional coordinates):
Hf (0.0000, 0.0000, 0.0000)  2 Ga 2.85, 4 Sb 2.86
Hf (0.3340, 0.3340, 0.1528)  1 Ga 2.77, 5 Sb 2.87-3.01
Hf (0.3387, 0.3387, 0.6804)  1 Ga 2.72, 5 Sb 2.86-2.90
Hf (0.6613, 0.6613, 0.3196)  1 Ga 2.72, 5 Sb 2.86-2.90
Hf (0.6660, 0.6660, 0.8472)  1 Ga 2.77, 5 Sb 2.87-3.01
Ga (0.5000, 0.5000, 0.0000)  6 Hf 2.72-2.85
Sb (0.1533, 0.1533, 0.8070)  5 Hf 2.86-2.98
Sb (0.1652, 0.1652, 0.3412)  5 Hf 2.86-3.01
Sb (0.5000, 0.5000, 0.5000)  4 Hf 2.88-2.90
Sb (0.8348, 0.8348, 0.6588)  5 Hf 2.86-3.01
Sb (0.8467, 0.8467, 0.1930)  5 Hf 2.86-2.98

(4)
VASP calculation (PBE) on a relaxed CaPmGdRu crystal.

Calculated values
E_form = 0.10 eV per atom
SG = F-43m, No. 216
ρ = 7.29 g/cm3

a = 5.2284 Å, b = 5.2284 Å, c = 5.2284 Å
α = 60.00°, β = 60.00°, γ = 60.00°
Closest atoms and distances in Å follow each position.
Atoms (fractional coordinates):
Ca (0.0000, 0.0000, 0.0000)  4 Gd 3.20, 4 Pm 3.20
Pm (0.7500, 0.7500, 0.7500)  4 Ru 3.20, 4 Ca 3.20
Gd (0.2500, 0.2500, 0.2500)  4 Ca 3.20, 4 Ru 3.20
Ru (0.5000, 0.5000, 0.5000)  4 Gd 3.20, 4 Pm 3.20

(5)
VASP calculation (PBE) on a relaxed LiRe2Pt crystal.

Calculated values
E_form = 0.06 eV per atom
SG = P4mm, No. 99
ρ = 16.64 g/cm3

a = 2.7988 Å, b = 2.7988 Å, c = 7.3170 Å
α = 90.00°, β = 90.00°, γ = 90.00°
Closest atoms and distances in Å follow each position.
Atoms (fractional coordinates):
Li (0.0000, 0.0000, 0.0000)  4 Pt 2.57, 4 Re 2.76, 4 Li 2.80
Re (0.0000, 0.0000, 0.4916)  8 Re 2.67-2.80, 4 Pt 2.79
Re (0.5000, 0.5000, 0.7368)  8 Re 2.67-2.80, 4 Li 2.76
Pt (0.5000, 0.5000, 0.2235)  4 Li 2.57, 4 Re 2.79, 4 Pt 2.80

(6)
VASP calculation (PBE) on a relaxed InOs2Br crystal.

Calculated values
SG = P4mm, No. 99
ρ = 12.21 g/cm3
total energy = -24.68 eV per cell

a = 2.9542 Å, b = 2.9542 Å, c = 8.9641 Å
α = 90.00°, β = 90.00°, γ = 90.00°
Closest atoms and distances in Å follow each position.
Atoms (fractional coordinates):
In (0.0000, 0.0000, 0.0000)  4 In 2.95, 4 Os 3.02
Os (0.0000, 0.0000, 0.4182)  4 Os 2.61, 4 Br 2.84
Os (0.5000, 0.5000, 0.2436)  4 Os 2.61
Br (0.5000, 0.5000, 0.6320)  4 Os 2.84, 4 Br 2.95